Record 1
The following is a DFT calculation (GGA-PBE) of a relaxed Cr3CBr crystal.

Lattice parameters (Å, degrees): 3.9781 3.9781 3.9781 90.00 90.00 90.00
Closest atoms and distances in Å follow each position.
Element x y z (fractional)
Cr  0.0000  0.0000  0.5000  2 C 1.99
Cr  0.0000  0.5000  0.0000  2 C 1.99
Cr  0.5000  0.0000  0.0000  2 C 1.99
C  0.0000  0.0000  0.0000  6 Cr 1.99
Br  0.5000  0.5000  0.5000  12 Cr 2.81

Values from the calculation:
The calculation puts the raw formation energy at 69 kJ per mole of atoms. The calculation puts the energy above the most stable polymorph in this dataset at 0.000 eV/atom.

Record 2
The following is a DFT calculation (GGA-PBE) of a relaxed YSc2Be crystal.

Lattice parameters (Å, degrees): 3.4321 4.5701 5.9966 90.00 105.69 90.00
Closest atoms and distances in Å follow each position.
Element x y z (fractional)
Y  0.0000  0.0000  0.0000  2 Be 3.00, 8 Sc 3.27-3.32
Sc  0.3812  0.5000  0.7158  2 Be 2.77, 1 Sc 2.92
Sc  0.6188  0.5000  0.2842  2 Be 2.77, 1 Sc 2.92
Be  0.0000  0.0000  0.5000  4 Sc 2.77, 2 Y 3.00

Values from the calculation:
The energy of formation comes out at 0.211 eV/atom.